[1]
Here is a relaxed ScCoSiTc crystal from OQMD via LeMat-Bulk. Energies are from GGA-PBE.

a b c (Å): 4.3549 4.3549 4.3549
angles (deg): 60.00 60.00 60.00
Site moments in Bohr magnetons follow the coordinates.
Positions (direct):
Sc  0.2500  0.2500  0.2500  0.21
Tc  0.5000  0.5000  0.5000  1.12
Co  0.7500  0.7500  0.7500  1.73
Si  0.0000  0.0000  0.0000  0.01

Results
The total magnetic moment comes out at 0.7931 μB per atom. The calculation puts the calculated total energy at -7.299 eV per atom. As for the crystal system: cubic. The volume is 58.4 Å³ per cell.

***

[2]
Here is a relaxed ScCoSiW crystal from OQMD via LeMat-Bulk. Energies are from GGA-PBE.

a b c (Å): 4.3253 4.3253 4.3253
angles (deg): 60.00 60.00 60.00
Positions (direct):
W  0.2500  0.2500  0.2500
Si  0.0000  0.0000  0.0000
Sc  0.5000  0.5000  0.5000
Co  0.7500  0.7500  0.7500

Results
The total magnetic moment comes out at 0.0027 μB per atom. The calculation puts the calculated total energy at -7.891 eV per atom. As for the crystal system: cubic. The volume is 57.2 Å³ per cell.

***

[3]
Here is a relaxed YScCoSi crystal from OQMD via LeMat-Bulk. Energies are from GGA-PBE.

a b c (Å): 4.5680 4.5680 4.5680
angles (deg): 60.00 60.00 60.00
Site moments in Bohr magnetons follow the coordinates.
Positions (direct):
Sc  0.2500  0.2500  0.2500  0.44
Si  0.0000  0.0000  0.0000  0.02
Co  0.7500  0.7500  0.7500  0.29
Y  0.5000  0.5000  0.5000  0.09

Results
The total magnetic moment comes out at 0.2502 μB per atom. The calculation puts the calculated total energy at -6.453 eV per atom. As for the crystal system: cubic. The volume is 67.4 Å³ per cell.

***

[4]
Here is a relaxed ScCoSn crystal from OQMD via LeMat-Bulk. Energies are from GGA-PBE.

a b c (Å): 8.0424 8.0424 8.0424
angles (deg): 31.65 31.65 31.65
Site moments in Bohr magnetons follow the coordinates.
Positions (direct):
Co  0.0496  0.0496  0.0496  0.76
Sn  0.5625  0.5625  0.5625  -0.01
Sc  0.2962  0.2962  0.2962  -0.09
Sc  0.7038  0.7038  0.7038  -0.09
Co  0.9504  0.9504  0.9504  0.76
Sn  0.4375  0.4375  0.4375  -0.01

Results
The total magnetic moment comes out at 0.2040 μB per atom. The calculation puts the calculated total energy at -5.971 eV per atom. As for the crystal system: trigonal. The volume is 127.2 Å³ per cell.

***

[5]
Here is a relaxed ScCoSn crystal from OQMD via LeMat-Bulk. Energies are from GGA-PBE.

a b c (Å): 6.7688 4.4191 7.2698
angles (deg): 90.00 90.00 90.00
Positions (direct):
Co  0.6559  0.2500  0.9455
Sc  0.9870  0.2500  0.2167
Sc  0.4870  0.2500  0.2833
Co  0.3441  0.7500  0.0545
Sc  0.0130  0.7500  0.7833
Sc  0.5130  0.7500  0.7167
Co  0.8441  0.7500  0.4455
Sn  0.2219  0.7500  0.3927
Sn  0.7781  0.2500  0.6073
Co  0.1559  0.2500  0.5545
Sn  0.2781  0.2500  0.8927
Sn  0.7219  0.7500  0.1073

Results
The total magnetic moment comes out at 0.0002 μB per atom. The calculation puts the calculated total energy at -6.295 eV per atom. As for the crystal system: orthorhombic. The volume is 217.5 Å³ per cell.

***

[6]
Here is a relaxed ScCo2Sn crystal from OQMD via LeMat-Bulk. Energies are from GGA-PBE.

a b c (Å): 4.6801 4.6801 7.3600
angles (deg): 90.00 90.00 120.00
Positions (direct):
Sc  0.6667  0.3333  0.2500
Co  0.6667  0.3333  0.9036
Co  0.6667  0.3333  0.5964
Co  0.3333  0.6667  0.0964
Co  0.3333  0.6667  0.4036
Sn  0.0000  0.0000  0.7500
Sc  0.3333  0.6667  0.7500
Sn  0.0000  0.0000  0.2500

Results
The total magnetic moment comes out at 0.6303 μB per atom. The calculation puts the calculated total energy at -5.864 eV per atom. As for the crystal system: hexagonal. The volume is 139.6 Å³ per cell.